## NiIrOs2 (meta-GGA SCAN)

Data for a PBEsol-optimized structure of NiIrOs2.

Calculated values
- Symmetry: Cmmm
- Electronic total energy: -228.8 eV/cell
- Size of the total moment: 0.002 μB/atom
- DOS at the Fermi energy: 1.445 states/eV/atom
- Formation energy: 12.82 kcal/mol of atoms

a b c (Å): 2.633 2.633 9.024
angles (deg): 90.00 90.00 119.08
Fractional coordinates of all 4 atoms:
Ni 0.000 0.000 0.000
Ir 0.000 0.000 0.500
Os 0.500 0.500 0.239
Os 0.500 0.500 0.761

***

## Ni2PIr (meta-GGA SCAN)

Data for a PBEsol-optimized structure of Ni2PIr.

Calculated values
- Symmetry: Cmmm
- Electronic total energy: -113.4 eV/cell
- Size of the total moment: 0.000 μB/atom
- DOS at the Fermi energy: 0.866 states/eV/atom
- Formation energy: 2.74 kcal/mol of atoms

a b c (Å): 2.640 2.640 7.895
angles (deg): 90.00 90.00 119.04
Fractional coordinates of all 4 atoms:
Ni 0.000 0.000 0.220
Ni 0.000 0.000 0.780
P 0.500 0.500 0.000
Ir 0.500 0.500 0.500